1.
Entry from Alexandria via LeMat-Bulk: an optimized crystal structure of AlSeN2F (PBE).

Cell: 4.0250 4.0250 4.0856 Å, 90.00 90.00 90.00°
With the nearest neighbours (Å) after each atom.
Fractional positions:
Se 0.0000 0.0000 0.5000  2 F 2.04
F 0.0000 0.0000 0.0000  4 N 2.01, 2 Se 2.04
Al 0.5000 0.5000 0.5000  4 Se 2.85, 8 N 2.87
N 0.5000 0.0000 0.0000  2 F 2.01
N 0.0000 0.5000 0.0000  2 F 2.01

Calculated values
**ΔE to the lowest computed polymorph**: 1.888 eV/atom
**Formation energy without anion corrections**: 1.872 eV/atom
**Space group**: No. 123

---

2.
Entry from Alexandria via LeMat-Bulk: an optimized crystal structure of AlSeN2F (PBE).

Cell: 3.9376 3.9376 3.5275 Å, 90.00 90.00 90.00°
With the nearest neighbours (Å) after each atom.
Fractional positions:
F 0.0000 0.0000 0.5000  2 Al 1.76
Al 0.0000 0.0000 0.0000  2 F 1.76, 4 N 1.97
N 0.0000 0.5000 0.0000  2 Al 1.97
Se 0.5000 0.5000 0.5000  8 N 2.64, 4 F 2.78
N 0.5000 0.0000 0.0000  2 Al 1.97

Calculated values
**ΔE to the lowest computed polymorph**: 0.000 eV/atom
**Formation energy without anion corrections**: -0.016 eV/atom
**Space group**: No. 123

---

3.
Entry from Alexandria via LeMat-Bulk: an optimized crystal structure of AlSeN2F (PBE).

Cell: 3.6257 3.6257 5.5493 Å, 90.00 90.00 90.00°
With the nearest neighbours (Å) after each atom.
Fractional positions:
N 0.0000 0.5000 0.0000  2 Al 1.81
F 0.5000 0.5000 0.5000  4 Se 2.56
N 0.5000 0.0000 0.0000  2 Al 1.81
Al 0.0000 0.0000 0.0000  4 N 1.81
Se 0.0000 0.0000 0.5000  4 F 2.56, 2 Al 2.77

Calculated values
**ΔE to the lowest computed polymorph**: 0.701 eV/atom
**Formation energy without anion corrections**: 0.685 eV/atom
**Space group**: No. 123

---

4.
Entry from Alexandria via LeMat-Bulk: an optimized crystal structure of Al2SiNF (PBE).

Cell: 4.0732 4.3348 4.0732 Å, 90.00 90.00 90.00°
With the nearest neighbours (Å) after each atom.
Fractional positions:
N 0.0000 0.5000 0.0000  2 F 2.17
Al 0.5000 0.0000 0.0000  2 F 2.04
Si 0.5000 0.5000 0.5000  4 N 2.88, 8 Al 2.97
Al 0.0000 0.0000 0.5000  2 F 2.04
F 0.0000 0.0000 0.0000  4 Al 2.04, 2 N 2.17

Calculated values
**Formation energy without anion corrections**: 0.684 eV/atom
**Space group**: No. 123

---

5.
Entry from Alexandria via LeMat-Bulk: an optimized crystal structure of AlSiN2F (PBE).

Cell: 3.8578 3.8578 3.5139 Å, 90.00 90.00 90.00°
With the nearest neighbours (Å) after each atom.
Fractional positions:
Si 0.5000 0.5000 0.5000  8 N 2.61, 4 F 2.73
Al 0.0000 0.0000 0.0000  2 F 1.76, 4 N 1.93
F 0.0000 0.0000 0.5000  2 Al 1.76
N 0.5000 0.0000 0.0000  2 Al 1.93
N 0.0000 0.5000 0.0000  2 Al 1.93

Calculated values
**ΔE to the lowest computed polymorph**: 0.341 eV/atom
**Formation energy without anion corrections**: -0.110 eV/atom
**Space group**: No. 123

---

6.
Entry from Alexandria via LeMat-Bulk: an optimized crystal structure of AlSiN2F (PBE).

Cell: 3.6704 3.6704 3.4648 Å, 90.00 90.00 90.00°
With the nearest neighbours (Å) after each atom.
Fractional positions:
N 0.0000 0.5000 0.0000  2 Si 1.84
F 0.0000 0.0000 0.5000  2 Si 1.73
Si 0.0000 0.0000 0.0000  2 F 1.73, 4 N 1.84
Al 0.5000 0.5000 0.5000  8 N 2.52, 4 F 2.60
N 0.5000 0.0000 0.0000  2 Si 1.84

Calculated values
**ΔE to the lowest computed polymorph**: 0.000 eV/atom
**Formation energy without anion corrections**: -0.451 eV/atom
**Space group**: No. 123

---

7.
Entry from Alexandria via LeMat-Bulk: an optimized crystal structure of AlSnN2F (PBE).

Cell: 3.9513 3.9513 3.5781 Å, 90.00 90.00 90.00°
With the nearest neighbours (Å) after each atom.
Fractional positions:
Sn 0.5000 0.5000 0.5000  8 N 2.67, 4 F 2.79
N 0.0000 0.5000 0.0000  2 Al 1.98
F 0.0000 0.0000 0.5000  2 Al 1.79
N 0.5000 0.0000 0.0000  2 Al 1.98
Al 0.0000 0.0000 0.0000  2 F 1.79, 4 N 1.98

Calculated values
**ΔE to the lowest computed polymorph**: 0.000 eV/atom
**Formation energy without anion corrections**: -0.499 eV/atom
**Space group**: No. 123

---

8.
Entry from Alexandria via LeMat-Bulk: an optimized crystal structure of AlSnN2F (PBE).

Cell: 4.1447 4.1447 4.0457 Å, 90.00 90.00 90.00°
With the nearest neighbours (Å) after each atom.
Fractional positions:
Sn 0.0000 0.0000 0.0000  2 F 2.02, 4 N 2.07
N 0.5000 0.0000 0.0000  2 Sn 2.07
N 0.0000 0.5000 0.0000  2 Sn 2.07
Al 0.5000 0.5000 0.5000  8 N 2.90, 4 F 2.93
F 0.0000 0.0000 0.5000  2 Sn 2.02

Calculated values
**ΔE to the lowest computed polymorph**: 0.863 eV/atom
**Formation energy without anion corrections**: 0.363 eV/atom
**Space group**: No. 123

---

Spin magnetization for the records above, in order: 1.722 0.000 1.575 1.420 0.403 0.000 0.000 0.000 Bohr magnetons per cell